Density functional theory data (GGA-PBE) for an optimized crystal structure of LiDy3U3Se8.

a = 8.171 Å, b = 8.171 Å, c = 8.171 Å
α = 58.98°, β = 58.98°, γ = 58.98°
Atoms (fractional coordinates):
Li  0.000  0.000  0.000
Dy  0.000  0.000  0.500
Dy  0.000  0.500  0.000
Dy  0.500  0.000  0.000
U  0.000  0.500  0.500
U  0.500  0.000  0.500
U  0.500  0.500  0.000
Se  0.247  0.752  0.752
Se  0.248  0.248  0.248
Se  0.248  0.248  0.753
Se  0.248  0.753  0.248
Se  0.752  0.247  0.752
Se  0.752  0.752  0.247
Se  0.752  0.752  0.752
Se  0.753  0.248  0.248

Results
The uncorrected formation energy is -1.421 eV per atom.